CrCuW2 | PBE | relaxed

POSCAR file:
```
CrCuW2
1.0
2.642 0.000 0.000
0.000 4.365 0.000
-0.725 0.000 4.926
Cr Cu W
1 1 2
Direct
0.000 0.000 0.000 Cr
0.896 0.500 0.266 Cu
0.280 0.500 0.782 W
0.533 0.000 0.499 W
```

Values from the calculation:
size of the total moment	0.0	μB per formula unit
calculated total energy	-9.623	eV per atom
SG	Pm
distance to the lowest polymorph of the same formula	0.17	eV per formula unit
energy relative to the elements	0.2833	eV per atom